HoTmGa4Au2 | PBE | optimized geometry

Geometry as CIF:
```
data_HoTmGa4Au2
_cell_length_a 6.647
_cell_length_b 4.483
_cell_length_c 10.311
_cell_angle_alpha 90.00
_cell_angle_beta 90.00
_cell_angle_gamma 90.00
_symmetry_space_group_name_H-M 'A m m 2'
_symmetry_Int_Tables_number 38
_symmetry_space_group_name_Hall 'A 2 -2'
loop_
_atom_site_label
_atom_site_type_symbol
_atom_site_fract_x
_atom_site_fract_y
_atom_site_fract_z
Ho1 Ho 0.000 0.000 0.000
Tm1 Tm 0.500 0.000 0.817
Ga1 Ga 0.201 0.000 0.289
Ga2 Ga 0.300 0.000 0.529
Au1 Au 0.000 0.000 0.708
Au2 Au 0.500 0.000 0.109
```

Results
* final energy: -4.105 eV per atom

---

PaSe2 | PBE | optimized geometry

Geometry as CIF:
```
data_PaSe2
_cell_length_a 3.917
_cell_length_b 6.781
_cell_length_c 38.142
_cell_angle_alpha 90.00
_cell_angle_beta 90.00
_cell_angle_gamma 90.00
_symmetry_space_group_name_H-M 'C 2 2 21'
_symmetry_Int_Tables_number 20
_symmetry_space_group_name_Hall 'C 2c 2'
loop_
_atom_site_label
_atom_site_type_symbol
_atom_site_fract_x
_atom_site_fract_y
_atom_site_fract_z
Pa1 Pa 0.240 0.000 0.090
Se1 Se 0.240 0.334 0.864
Se2 Se 0.240 0.334 0.956
```

Results
* final energy: -6.715 eV per atom

---

ErNbPO | PBE | optimized geometry

Geometry as CIF:
```
data_ErNbPO
_cell_length_a 3.918
_cell_length_b 3.918
_cell_length_c 8.669
_cell_angle_alpha 90.00
_cell_angle_beta 90.00
_cell_angle_gamma 90.00
_symmetry_space_group_name_H-M 'P 4/n m m'
_symmetry_Int_Tables_number 129
loop_
_symmetry_equiv_pos_as_xyz
'x,y,z'
'-x,-y,-z'
'-y+1/2,x,z'
'y+1/2,-x,-z'
'-x+1/2,-y+1/2,z'
'x+1/2,y+1/2,-z'
'y,-x+1/2,z'
'-y,x+1/2,-z'
'x+1/2,-y,-z'
'-x+1/2,y,z'
'-y,-x,-z'
'y,x,z'
'-x,y+1/2,-z'
'x,-y+1/2,z'
'y+1/2,x+1/2,-z'
'-y+1/2,-x+1/2,z'
loop_
_atom_site_label
_atom_site_type_symbol
_atom_site_fract_x
_atom_site_fract_y
_atom_site_fract_z
Er1 Er 0.250 0.250 0.123
Nb1 Nb 0.250 0.750 0.500
P1 P 0.250 0.250 0.693
O1 O 0.250 0.750 0.000
```

Results
* final energy: -8.239 eV per atom
* energy relative to the lowest polymorph listed for this composition: 0 meV/atom